Here is Li3TiAu after structural relaxation from Alexandria. Energies are from PBE.

The space group is Pm-3m (No. 221) and the conventional cell measures 4.691, 4.691 and 4.691 Å, with angles of 90.00, 90.00 and 90.00 degrees. The inequivalent atoms are Li at (0.000, 0.000, 0.500), Ti at (0.500, 0.500, 0.500) and Au at (0.000, 0.000, 0.000).

As for the crystal system: cubic. Its mass density is 4.27 g cm⁻³. The calculation puts the total magnetization at 0.0 μB/f.u. The offset from the most stable computed form comes out at 0 meV per atom. As for the density of states at the Fermi level: 3.3 states/eV per cell.